1.
This record from the Alexandria database describes a crystal of NbSbTe2Ir relaxed with PBEsol. The functional is meta-GGA SCAN.

Structure (POSCAR):
```
NbSbTe2Ir
1.0
4.883 0.000 0.000
0.000 5.247 0.000
0.000 0.000 5.247
Ir Te Sb Nb
1 2 1 1
direct
0.000 0.000 0.000
0.000 0.500 0.000
0.000 0.000 0.500
0.500 0.000 0.000
0.500 0.500 0.500
```

formation energy from raw total energies = 0.79 eV per atom
energy above the lowest structure with this stoichiometry = 0.00 eV/f.u.
uncorrected energy = -42.410 eV/atom

2.
This record from the Alexandria database describes a crystal of Nb9IrSe20 relaxed with PBEsol. The functional is meta-GGA SCAN.

Structure (POSCAR):
```
Nb9IrSe20
1.0
-1.138 -0.596 6.725
7.902 -0.971 4.742
2.180 10.317 3.028
Ir Nb Se
1 9 20
direct
0.000 0.000 0.000
0.581 0.223 0.217
0.191 0.411 0.408
0.087 0.224 0.218
0.500 0.000 0.000
0.693 0.411 0.408
0.419 0.777 0.783
0.913 0.776 0.782
0.809 0.589 0.592
0.307 0.589 0.592
0.345 0.294 0.031
0.248 0.076 0.827
0.752 0.924 0.173
0.849 0.111 0.382
0.762 0.076 0.827
0.042 0.705 0.421
0.238 0.924 0.173
0.542 0.706 0.421
0.649 0.892 0.617
0.561 0.489 0.774
0.958 0.295 0.579
0.439 0.511 0.226
0.063 0.488 0.774
0.937 0.512 0.226
0.151 0.889 0.618
0.852 0.280 0.034
0.148 0.720 0.966
0.351 0.108 0.383
0.655 0.706 0.969
0.458 0.294 0.579
```

formation energy from raw total energies = -0.81 eV per atom
uncorrected energy = -26.505 eV/atom

3.
This record from the Alexandria database describes a crystal of Nb3IrSe8 relaxed with PBEsol. The functional is meta-GGA SCAN.

Structure (POSCAR):
```
Nb3IrSe8
1.0
6.829 0.010 -0.022
-3.387 5.930 0.022
-1.732 -2.963 12.514
Se Nb Ir
16 6 2
direct
0.575 0.980 0.362
0.382 0.287 0.862
0.618 0.713 0.138
0.103 0.516 0.397
0.647 0.235 0.116
0.119 0.206 0.103
0.881 0.969 0.616
0.425 0.020 0.638
0.844 0.273 0.880
0.897 0.484 0.603
0.607 0.536 0.380
0.393 0.464 0.620
0.156 0.727 0.120
0.881 0.794 0.897
0.353 0.765 0.884
0.119 0.031 0.384
0.110 0.860 0.750
0.902 0.619 0.252
0.367 0.150 0.248
0.098 0.381 0.748
0.633 0.850 0.752
0.890 0.140 0.250
0.320 0.570 0.250
0.680 0.430 0.750
```

formation energy from raw total energies = -0.77 eV per atom
energy above the lowest structure with this stoichiometry = 0.00 eV/f.u.
uncorrected energy = -28.362 eV/atom

4.
This record from the Alexandria database describes a crystal of NbIr2Se2 relaxed with PBEsol. The functional is meta-GGA SCAN.

Structure (POSCAR):
```
NbIr2Se2
1.0
3.853 0.000 0.000
0.000 3.853 0.000
-1.927 -1.927 5.821
Nb Se Ir
1 2 2
direct
0.000 0.000 0.000
0.616 0.616 0.232
0.384 0.384 0.768
0.750 0.250 0.500
0.250 0.750 0.500
```

formation energy from raw total energies = 0.56 eV per atom
uncorrected energy = -42.538 eV/atom

5.
This record from the Alexandria database describes a crystal of Nb3IrSe8 relaxed with PBEsol. The functional is meta-GGA SCAN.

Structure (POSCAR):
```
Nb3IrSe8
1.0
6.711 0.001 0.028
-3.351 5.814 -0.028
-1.630 -2.936 6.468
Nb Se Ir
3 8 1
direct
0.500 0.500 0.000
0.500 0.000 0.000
0.000 0.500 0.000
0.548 0.706 0.738
0.969 0.295 0.264
0.968 0.811 0.262
0.452 0.294 0.262
0.463 0.801 0.263
0.031 0.705 0.736
0.032 0.189 0.738
0.537 0.199 0.737
0.000 0.000 0.000
```

formation energy from raw total energies = -0.70 eV per atom
energy above the lowest structure with this stoichiometry = 0.78 eV/f.u.
uncorrected energy = -28.297 eV/atom

6.
This record from the Alexandria database describes a crystal of NbSi3Ir relaxed with PBEsol. The functional is meta-GGA SCAN.

Structure (POSCAR):
```
NbSi3Ir
1.0
4.665 0.000 0.000
0.000 4.665 0.000
0.000 0.000 4.665
Ir Nb Si
1 1 3
direct
0.500 0.500 0.500
0.000 0.000 0.000
0.500 0.000 0.000
0.000 0.000 0.500
0.000 0.500 0.000
```

formation energy from raw total energies = 1.58 eV per atom
uncorrected energy = -25.276 eV/atom

7.
This record from the Alexandria database describes a crystal of NbSn2Ir relaxed with PBEsol. The functional is meta-GGA SCAN.

Structure (POSCAR):
```
NbSn2Ir
1.0
-2.914 1.469 -3.345
0.025 -2.064 -4.192
-3.599 -2.680 -1.306
Nb Ir Sn
1 1 2
direct
0.000 0.000 0.000
0.500 0.500 0.500
0.250 0.250 0.250
0.750 0.750 0.750
```

uncorrected energy = -43.862 eV/atom

8.
This record from the Alexandria database describes a crystal of Nb3SnIr relaxed with PBEsol. The functional is meta-GGA SCAN.

Structure (POSCAR):
```
Nb3SnIr
1.0
-0.880 -0.440 4.767
1.933 -4.467 -0.056
4.380 1.883 0.982
Nb Ir Sn
3 1 1
direct
0.000 0.500 0.000
0.500 0.000 0.000
0.000 0.000 0.500
0.500 0.500 0.500
0.000 0.000 0.000
```

uncorrected energy = -39.266 eV/atom